Entry from Alexandria via LeMat-Bulk: crystalline HfSc3Cr at its relaxed geometry (PBE).

Cell lengths 5.1787, 5.1787, 5.1787 Å; angles 90.00, 90.00, 90.00 degrees
Last column: nearest neighbours and their distance in Å.
Positions (direct):
Hf: 0.0000 0.0000 0.0000  6 Sc 2.59
Sc: 0.0000 0.0000 0.5000  2 Hf 2.59
Sc: 0.0000 0.5000 0.0000  2 Hf 2.59
Sc: 0.5000 0.0000 0.0000  2 Hf 2.59
Cr: 0.5000 0.5000 0.5000  12 Sc 3.66

Energy of formation (meV/atom): 1100
Uncorrected energy (eV/atom): -6.6146
Space group: No. 221
Distance to the lowest polymorph of the same formula (meV per atom): 539
M_tot (μB per cell): 4.768